No. 1
A geometry-optimized TaNbGaS2 structure. Source: Alexandria, functional PBE.

Calculated values
The magnetic moment is 2.31 Bohr magnetons per cell. As for the density: 6.099 Mg/m³. The calculation puts the density of states at the Fermi level at 1.0554 states/eV per atom. The final energy comes out at -5.89 eV/atom. As for the uncorrected formation energy: 0.75 eV/atom.

Structure (POSCAR):
```
TaNbGaS2
1.0
4.668 0.000 0.000
0.000 4.668 0.000
0.000 0.000 5.094
Ta Nb Ga S
1 1 1 2
Direct
0.000 0.000 0.000
0.500 0.500 0.500
0.500 0.500 0.000
0.000 0.500 0.500
0.500 0.000 0.500
```


No. 2
A geometry-optimized NbGa2TcS structure. Source: Alexandria, functional PBE.

Calculated values
The magnetic moment is 4.34 Bohr magnetons per cell. As for the density: 5.041 Mg/m³. The calculation puts the density of states at the Fermi level at 1.0598 states/eV per atom. The final energy comes out at -5.18 eV/atom. As for the uncorrected formation energy: 0.94 eV/atom.

Structure (POSCAR):
```
NbGa2TcS
1.0
5.087 0.000 0.000
0.000 5.087 0.000
0.000 0.000 4.613
Nb Ga Tc S
1 2 1 1
Direct
0.000 0.000 0.000
0.000 0.500 0.000
0.500 0.000 0.000
0.500 0.500 0.500
0.000 0.000 0.500
```


No. 3
A geometry-optimized NbTlGa2S structure. Source: Alexandria, functional PBE.

Calculated values
The magnetic moment is 0.00 Bohr magnetons per cell. As for the density: 6.041 Mg/m³. The calculation puts the density of states at the Fermi level at 0.5991 states/eV per atom. The final energy comes out at -4.50 eV/atom. As for the uncorrected formation energy: 0.02 eV/atom.

Structure (POSCAR):
```
NbTlGa2S
1.0
5.227 0.000 0.000
0.000 5.227 0.000
0.000 0.000 4.716
Nb Tl Ga S
1 1 2 1
Direct
0.000 0.000 0.000
0.500 0.500 0.500
0.000 0.500 0.000
0.500 0.000 0.000
0.000 0.000 0.500
```